No. 1
Here is an optimized crystal structure of TlNi2AgCl from Alexandria via LeMat-Bulk. Energies are from PBE.

The value obtained for the total magnetization is 0.00 μB/f.u. For the uncorrected formation energy, the calculation gives 0.521 eV/atom. The value obtained for the density of states at the Fermi level is 3.490 states/eV per cell. The total energy comes out at -16.024 eV/f.u.

The space group is P4/mmm (No. 123) and the conventional cell measures 4.1693, 4.1693 and 6.0056 Å, with angles of 90.00, 90.00 and 90.00 degrees. Symmetry generates all atoms from Tl at (0.0000, 0.0000, 0.0000), Ni at (0.0000, 0.5000, 0.5000), Ag at (0.5000, 0.5000, 0.0000) and Cl at (0.0000, 0.0000, 0.5000).

No. 2
Here is an optimized crystal structure of Tl2NiAgCl5 from Alexandria via LeMat-Bulk. Energies are from PBE.

The value obtained for the total magnetization is 2.00 μB/f.u. For the uncorrected formation energy, the calculation gives -0.702 eV/atom. The value obtained for the density of states at the Fermi level is 9.819 states/eV per cell. The total energy comes out at -28.920 eV/f.u.

The space group is Cmc2_1 (No. 36) and the conventional cell measures 4.0069, 20.1305 and 12.8783 Å, with angles of 90.00, 90.00 and 90.00 degrees. Symmetry generates all atoms from Tl at (0.0000, 0.1205, 0.0000), Tl at (0.0000, 0.1328, 0.3693), Ni at (0.0000, 0.4418, 0.1246), Ag at (0.0000, 0.2180, 0.7212), Cl at (0.0000, 0.0311, 0.6959), Cl at (0.0000, 0.2905, 0.3618), Cl at (0.0000, 0.3324, 0.0911), Cl at (0.0000, 0.3474, 0.6858) and Cl at (0.0000, 0.4904, 0.9687).

No. 3
Here is an optimized crystal structure of Tl2NiAgCl6 from Alexandria via LeMat-Bulk. Energies are from PBE.

The value obtained for the total magnetization is 0.94 μB/f.u. For the uncorrected formation energy, the calculation gives -0.703 eV/atom. The value obtained for the density of states at the Fermi level is 2.366 states/eV per cell. The total energy comes out at -31.480 eV/f.u.

The space group is P2_1/c (No. 14) and the conventional cell measures 7.0488, 7.0472 and 12.1754 Å, with angles of 90.00, 125.36 and 90.00 degrees. Symmetry generates all atoms from Tl at (0.2500, 0.0002, 0.2500), Ni at (0.0000, 0.0000, 0.5000), Ag at (0.5000, 0.0000, 0.0000), Cl at (0.2300, 0.2374, 0.4978), Cl at (0.2353, 0.7322, 0.9979) and Cl at (0.2402, 0.0000, 0.7359).

No. 4
Here is an optimized crystal structure of Tl3NiAg2Cl9 from Alexandria via LeMat-Bulk. Energies are from PBE.

The value obtained for the total magnetization is 0.00 μB/f.u. For the uncorrected formation energy, the calculation gives -0.681 eV/atom. The value obtained for the density of states at the Fermi level is 3.311 states/eV per cell. The total energy comes out at -45.416 eV/f.u.

The space group is P-3m1 (No. 164) and the conventional cell measures 7.1486, 7.1486 and 8.6306 Å, with angles of 90.00, 90.00 and 120.00 degrees. Symmetry generates all atoms from Tl at (0.0000, 0.0000, 0.0000), Tl at (0.3333, 0.6667, 0.6916), Ni at (0.0000, 0.0000, 0.5000), Ag at (0.3333, 0.6667, 0.1817), Cl at (0.0000, 0.5000, 0.0000) and Cl at (0.1533, 0.3065, 0.3455).

No. 5
Here is an optimized crystal structure of TmNiAgCl6 from Alexandria via LeMat-Bulk. Energies are from PBE.

The value obtained for the total magnetization is 1.86 μB/f.u. For the uncorrected formation energy, the calculation gives -1.274 eV/atom. The total energy comes out at -35.651 eV/f.u.

The space group is P-31c (No. 163) and the conventional cell measures 6.4287, 6.4287 and 12.1881 Å, with angles of 90.00, 90.00 and 120.00 degrees. Symmetry generates all atoms from Tm at (0.3333, 0.6667, 0.2500), Ni at (0.3333, 0.6667, 0.7500), Ag at (0.0000, 0.0000, 0.0000) and Cl at (0.0226, 0.3653, 0.6336).

No. 6
Here is an optimized crystal structure of NiAgWCl2 from Alexandria via LeMat-Bulk. Energies are from PBE.

The value obtained for the total magnetization is 1.37 μB/f.u. For the uncorrected formation energy, the calculation gives 0.973 eV/atom. The value obtained for the density of states at the Fermi level is 8.567 states/eV per cell. The total energy comes out at -20.415 eV/f.u.

The space group is P4/mmm (No. 123) and the conventional cell measures 4.5436, 4.5436 and 5.6793 Å, with angles of 90.00, 90.00 and 90.00 degrees. Symmetry generates all atoms from Ni at (0.0000, 0.0000, 0.0000), Ag at (0.5000, 0.5000, 0.0000), W at (0.5000, 0.5000, 0.5000) and Cl at (0.0000, 0.5000, 0.5000).

Which of these has the highest total magnetization? Tl2NiAgCl5

Repeat the first record exactly.
Here is an optimized crystal structure of TlNi2AgCl from Alexandria via LeMat-Bulk. Energies are from PBE.

The value obtained for the total magnetization is 0.00 μB/f.u. For the uncorrected formation energy, the calculation gives 0.521 eV/atom. The value obtained for the density of states at the Fermi level is 3.490 states/eV per cell. The total energy comes out at -16.024 eV/f.u.

The space group is P4/mmm (No. 123) and the conventional cell measures 4.1693, 4.1693 and 6.0056 Å, with angles of 90.00, 90.00 and 90.00 degrees. Symmetry generates all atoms from Tl at (0.0000, 0.0000, 0.0000), Ni at (0.0000, 0.5000, 0.5000), Ag at (0.5000, 0.5000, 0.0000) and Cl at (0.0000, 0.0000, 0.5000).